(1)
Material: HoTlCo2Cl8
Method: DFT, PBE-GGA
State: optimized geometry

The structure in POSCAR format:
```
HoTlCo2Cl8
1.0
3.215 1.856 9.572
-3.215 1.856 9.572
0.000 -3.712 9.572
Ho Tl Co Cl
1 1 2 8
direct
0.000 0.000 0.000
0.500 0.500 0.500
0.253 0.253 0.253
0.747 0.747 0.747
0.057 0.720 0.385
0.177 0.177 0.177
0.280 0.615 0.943
0.385 0.057 0.720
0.615 0.943 0.280
0.720 0.385 0.057
0.823 0.823 0.823
0.943 0.280 0.615
```

The uncorrected formation energy is -1173 meV per atom. The symmetry is R-3 (148).

***

(2)
Material: CoI3Cl
Method: DFT, PBE-GGA
State: optimized geometry

The structure in POSCAR format:
```
CoI3Cl
1.0
5.275 0.000 0.000
0.000 5.275 0.000
0.000 0.000 5.275
Co I Cl
1 3 1
direct
0.000 0.000 0.000
0.000 0.000 0.500
0.000 0.500 0.000
0.500 0.000 0.000
0.500 0.500 0.500
```

The uncorrected formation energy is 292 meV per atom. For the density of states at the Fermi level, the calculation gives 8.6 states/eV/cell. The symmetry is Pm-3m (221). The energy relative to the lowest polymorph listed for this composition comes out at 0.000 eV/atom.

***

(3)
Material: CoI3Cl
Method: DFT, PBE-GGA
State: optimized geometry

The structure in POSCAR format:
```
CoI3Cl
1.0
5.732 0.000 0.000
0.000 5.732 0.000
0.000 0.000 5.732
Co I Cl
1 3 1
direct
0.000 0.000 0.000
0.000 0.500 0.500
0.500 0.000 0.500
0.500 0.500 0.000
0.500 0.500 0.500
```

The uncorrected formation energy is 1044 meV per atom. For the density of states at the Fermi level, the calculation gives 15.5 states/eV/cell. The symmetry is Pm-3m (221). The energy relative to the lowest polymorph listed for this composition comes out at 0.752 eV/atom.

***

(4)
Material: Co5I3Cl12
Method: DFT, PBE-GGA
State: optimized geometry

The structure in POSCAR format:
```
Co5I3Cl12
1.0
-8.057 8.057 8.057
8.057 -8.057 8.057
8.057 8.057 -8.057
Co I Cl
20 12 48
direct
0.000 0.000 0.000
0.000 0.000 0.500
0.000 0.500 0.000
0.000 0.500 0.500
0.125 0.750 0.875
0.125 0.875 0.250
0.250 0.125 0.875
0.250 0.625 0.375
0.375 0.250 0.625
0.375 0.625 0.750
0.500 0.000 0.000
0.500 0.000 0.500
0.500 0.500 0.000
0.500 0.500 0.500
0.625 0.375 0.250
0.625 0.750 0.375
0.750 0.375 0.625
0.750 0.875 0.125
0.875 0.125 0.750
0.875 0.250 0.125
0.125 0.250 0.375
0.125 0.375 0.750
0.250 0.375 0.125
0.250 0.875 0.625
0.375 0.125 0.250
0.375 0.750 0.125
0.625 0.250 0.875
0.625 0.875 0.750
0.750 0.125 0.375
0.750 0.625 0.875
0.875 0.625 0.250
0.875 0.750 0.625
0.008 0.682 0.123
0.008 0.826 0.885
0.059 0.674 0.682
0.059 0.885 0.377
0.115 0.623 0.941
0.115 0.992 0.174
0.123 0.008 0.682
0.123 0.615 0.441
0.174 0.115 0.992
0.174 0.559 0.182
0.182 0.174 0.559
0.182 0.508 0.623
0.318 0.877 0.992
0.318 0.941 0.326
0.326 0.318 0.941
0.326 0.508 0.385
0.377 0.059 0.885
0.377 0.818 0.492
0.385 0.326 0.508
0.385 0.559 0.877
0.441 0.123 0.615
0.441 0.818 0.826
0.492 0.377 0.818
0.492 0.615 0.674
0.508 0.385 0.326
0.508 0.623 0.182
0.559 0.182 0.174
0.559 0.877 0.385
0.615 0.441 0.123
0.615 0.674 0.492
0.623 0.182 0.508
0.623 0.941 0.115
0.674 0.492 0.615
0.674 0.682 0.059
0.682 0.059 0.674
0.682 0.123 0.008
0.818 0.492 0.377
0.818 0.826 0.441
0.826 0.441 0.818
0.826 0.885 0.008
0.877 0.385 0.559
0.877 0.992 0.318
0.885 0.008 0.826
0.885 0.377 0.059
0.941 0.115 0.623
0.941 0.326 0.318
0.992 0.174 0.115
0.992 0.318 0.877
```

The uncorrected formation energy is -174 meV per atom. For the density of states at the Fermi level, the calculation gives 100.7 states/eV/cell. The symmetry is Ia-3d (230).

***

(5)
Material: La6Co2ICl3
Method: DFT, PBE-GGA
State: optimized geometry

The structure in POSCAR format:
```
La6Co2ICl3
1.0
9.144 -2.126 0.000
9.144 2.126 0.000
-1.817 0.000 8.774
La Co I Cl
6 2 1 3
direct
0.032 0.032 0.285
0.314 0.314 0.873
0.319 0.319 0.432
0.681 0.681 0.568
0.686 0.686 0.127
0.968 0.968 0.715
0.171 0.171 0.333
0.829 0.829 0.667
0.500 0.500 0.000
0.145 0.145 0.822
0.500 0.500 0.500
0.855 0.855 0.178
```

The uncorrected formation energy is -1025 meV per atom. For the density of states at the Fermi level, the calculation gives 9.0 states/eV/cell. The symmetry is C2/m (12).

***

(6)
Material: La6Co2I3Cl
Method: DFT, PBE-GGA
State: optimized geometry

The structure in POSCAR format:
```
La6Co2I3Cl
1.0
3.596 -6.550 0.000
3.596 6.550 0.000
-2.262 0.000 8.067
La Co I Cl
6 2 3 1
direct
0.058 0.412 0.815
0.202 0.202 0.188
0.412 0.058 0.815
0.588 0.942 0.185
0.798 0.798 0.812
0.942 0.588 0.185
0.171 0.829 0.000
0.829 0.171 0.000
0.000 0.000 0.500
0.337 0.663 0.500
0.663 0.337 0.500
0.500 0.500 0.000
```

The uncorrected formation energy is -919 meV per atom. For the density of states at the Fermi level, the calculation gives 6.5 states/eV/cell. The symmetry is C2/m (12).

***

(7)
Material: La4CoI2Cl
Method: DFT, PBE-GGA
State: optimized geometry

The structure in POSCAR format:
```
La4CoI2Cl
1.0
7.525 0.000 0.000
0.000 4.096 0.000
-2.449 0.000 7.973
La Co I Cl
4 1 2 1
direct
0.203 0.000 0.188
0.257 0.500 0.797
0.743 0.500 0.203
0.797 0.000 0.812
0.000 0.500 0.000
0.000 0.000 0.500
0.500 0.500 0.500
0.500 0.000 0.000
```

The uncorrected formation energy is -981 meV per atom. For the density of states at the Fermi level, the calculation gives 7.1 states/eV/cell. The symmetry is P2/m (10).

***

(8)
Material: La6Co3ICl2
Method: DFT, PBE-GGA
State: optimized geometry

The structure in POSCAR format:
```
La6Co3ICl2
1.0
9.861 -2.029 0.000
9.861 2.029 0.000
-3.527 0.000 8.446
La Co I Cl
6 3 1 2
direct
0.015 0.015 0.212
0.318 0.318 0.447
0.342 0.342 0.893
0.658 0.658 0.107
0.682 0.682 0.553
0.985 0.985 0.788
0.168 0.168 0.327
0.500 0.500 0.000
0.832 0.832 0.673
0.500 0.500 0.500
0.169 0.169 0.836
0.831 0.831 0.164
```

The uncorrected formation energy is -842 meV per atom. For the density of states at the Fermi level, the calculation gives 3.7 states/eV/cell. The symmetry is C2/m (12).

***

(9)
Material: La8Co3I4Cl
Method: DFT, PBE-GGA
State: optimized geometry

The structure in POSCAR format:
```
La8Co3I4Cl
1.0
7.331 -4.177 0.000
7.331 4.177 0.000
-4.847 0.000 8.134
La Co I Cl
8 3 4 1
direct
0.209 0.744 0.689
0.230 0.230 0.681
0.256 0.791 0.311
0.259 0.259 0.314
0.741 0.741 0.686
0.744 0.209 0.689
0.770 0.770 0.319
0.791 0.256 0.311
0.000 0.000 0.500
0.000 0.500 0.500
0.500 0.000 0.500
0.000 0.000 0.000
0.000 0.500 0.000
0.500 0.000 0.000
0.500 0.500 0.000
0.500 0.500 0.500
```

The uncorrected formation energy is -826 meV per atom. For the density of states at the Fermi level, the calculation gives 11.0 states/eV/cell. The symmetry is C2/m (12).

***

(10)
Material: CoMoI2Cl
Method: DFT, PBE-GGA
State: optimized geometry

The structure in POSCAR format:
```
CoMoI2Cl
1.0
5.715 0.000 0.000
0.000 5.715 0.000
0.000 0.000 4.846
Co Mo I Cl
1 1 2 1
direct
0.000 0.000 0.000
0.500 0.500 0.500
0.000 0.500 0.500
0.500 0.000 0.500
0.500 0.500 0.000
```

The uncorrected formation energy is 766 meV per atom. For the density of states at the Fermi level, the calculation gives 12.7 states/eV/cell. The symmetry is P4/mmm (123).

***

(11)
Material: CoI2NCl
Method: DFT, PBE-GGA
State: optimized geometry

The structure in POSCAR format:
```
CoI2NCl
1.0
5.598 0.000 0.000
0.000 5.598 0.000
0.000 0.000 3.423
Co I N Cl
1 2 1 1
direct
0.000 0.000 0.000
0.000 0.500 0.000
0.500 0.000 0.000
0.000 0.000 0.500
0.500 0.500 0.500
```

The uncorrected formation energy is 510 meV per atom. For the density of states at the Fermi level, the calculation gives 5.9 states/eV/cell. The symmetry is P4/mmm (123). The energy relative to the lowest polymorph listed for this composition comes out at 0.000 eV/atom.

***

(12)
Material: CoI2NCl
Method: DFT, PBE-GGA
State: optimized geometry

The structure in POSCAR format:
```
CoI2NCl
1.0
6.560 0.000 0.000
0.000 6.560 0.000
0.000 0.000 3.316
Co I N Cl
1 2 1 1
direct
0.000 0.000 0.000
0.000 0.500 0.500
0.500 0.000 0.500
0.500 0.500 0.000
0.500 0.500 0.500
```

The uncorrected formation energy is 1555 meV per atom. For the density of states at the Fermi level, the calculation gives 4.9 states/eV/cell. The symmetry is P4/mmm (123). The energy relative to the lowest polymorph listed for this composition comes out at 1.044 eV/atom.